[1]
Hg3MoC, relaxed, DFT PBE-GGA; E_form = 2.2399 eV per atom; DFT total energy = -1.952 eV per atom; energy above the most stable polymorph in this dataset = 602 meV per atom
1.0
-2.911 -0.999 4.410
-3.386 -2.995 -2.913
2.997 -4.353 0.992
C Mo Hg
1 1 3
direct
0.500 0.500 0.500
0.000 0.000 0.000
0.000 0.500 0.000
0.000 0.000 0.500
0.500 0.000 0.000

***

[2]
Sm7Mg2Rh2, relaxed, DFT PBE-GGA; E_form = -0.2089 eV per atom; DFT total energy = -4.839 eV per atom
1.0
-3.756 -3.474 4.695
-3.824 -3.225 -5.446
5.548 -3.852 -1.614
Sm Mg Rh
7 2 2
direct
0.000 0.249 0.500
0.500 0.751 0.000
0.000 0.751 0.500
0.500 0.249 0.000
0.000 0.000 0.000
0.500 0.761 0.500
0.500 0.239 0.500
0.826 0.500 0.826
0.174 0.500 0.174
0.713 0.000 0.287
0.287 0.000 0.713

***

[3]
CoIrRh5, relaxed, DFT PBE-GGA; E_form = 0.1893 eV per atom; DFT total energy = -7.343 eV per atom; energy above the most stable polymorph in this dataset = 0 meV per atom
1.0
-1.559 -4.171 1.518
0.292 -1.079 -4.637
9.345 0.128 1.867
Co Ir Rh
2 2 10
direct
0.000 0.000 0.000
0.000 0.000 0.500
0.643 0.564 0.286
0.357 0.436 0.714
0.072 0.575 0.148
0.785 0.470 0.566
0.577 0.968 0.643
0.862 0.086 0.234
0.542 0.254 0.989
0.458 0.746 0.011
0.138 0.914 0.766
0.423 0.032 0.357
0.215 0.530 0.434
0.928 0.425 0.852

***

[4]
K3AsCl8, relaxed, DFT PBE-GGA; formation energy (no corrections) = -11.40 eV per formula unit; DFT total energy = -2.843 eV per atom
1.0
-6.642 2.183 1.279
-1.419 -6.189 3.195
6.170 4.792 4.116
K As Cl
3 1 8
direct
0.750 0.250 0.500
0.500 0.500 0.000
0.250 0.750 0.500
0.000 0.000 0.000
0.328 0.328 0.220
0.328 0.891 0.220
0.109 0.672 0.780
0.109 0.109 0.780
0.891 0.891 0.220
0.891 0.328 0.220
0.672 0.109 0.780
0.672 0.672 0.780

***

[5]
SmHgN, relaxed, DFT PBE-GGA; formation energy (no corrections) = -1.63 eV per formula unit; DFT total energy = -4.992 eV per atom
1.0
3.913 0.000 -0.819
-0.255 5.056 -1.218
-0.505 -0.936 7.345
Sm Hg N
2 2 2
direct
0.199 0.699 0.398
0.801 0.301 0.602
0.500 0.753 0.000
0.500 0.247 0.000
0.780 0.780 0.561
0.220 0.220 0.439

***

[6]
TmScTl2Se4, relaxed, DFT PBE-GGA; formation energy (no corrections) = -10.49 eV per formula unit; DFT total energy = -4.996 eV per atom
1.0
-1.418 -2.995 -2.344
6.578 -1.755 -1.738
-1.895 -4.279 6.615
Tm Sc Tl Se
1 1 2 4
direct
0.500 0.500 0.000
0.000 0.000 0.000
0.500 0.000 0.500
0.000 0.500 0.500
0.500 0.224 0.196
0.500 0.776 0.804
0.000 0.258 0.800
0.000 0.742 0.200

***

- Which of these has the highest DFT total energy?
  Hg3MoC